No. 1
# PBEsol CaGa2Cu3Ru2O12, optimized geometry
data_CaGa2Cu3Ru2O12
_chemical_formula_sum 'Ca2 Ga4 Cu6 Ru4 O24'
_cell_length_a 7.3326
_cell_length_b 7.3326
_cell_length_c 7.3326
_cell_angle_alpha 90.00
_cell_angle_beta 90.00
_cell_angle_gamma 90.00
_space_group_name_H-M_alt 'P 1'
_space_group_IT_number 1
loop_
_space_group_symop_operation_xyz
'x,y,z'
loop_
_atom_site_label
_atom_site_type_symbol
_atom_site_fract_x
_atom_site_fract_y
_atom_site_fract_z
Ca1 Ca 0.2500 0.2500 0.2500
Ca2 Ca 0.7500 0.7500 0.7500
Ga1 Ga 0.0000 0.0000 0.0000
Ga2 Ga 0.0000 0.5000 0.5000
Ga3 Ga 0.5000 0.0000 0.5000
Ga4 Ga 0.5000 0.5000 0.0000
Cu1 Cu 0.2500 0.2500 0.7500
Cu2 Cu 0.2500 0.7500 0.2500
Cu3 Cu 0.2500 0.7500 0.7500
Cu4 Cu 0.7500 0.2500 0.2500
Cu5 Cu 0.7500 0.2500 0.7500
Cu6 Cu 0.7500 0.7500 0.2500
Ru1 Ru 0.0000 0.0000 0.5000
Ru2 Ru 0.0000 0.5000 0.0000
Ru3 Ru 0.5000 0.0000 0.0000
Ru4 Ru 0.5000 0.5000 0.5000
O1 O 0.0572 0.7485 0.9237
O2 O 0.0572 0.7515 0.5763
O3 O 0.0763 0.5572 0.2485
O4 O 0.0763 0.9428 0.2515
O5 O 0.2485 0.0763 0.5572
O6 O 0.2485 0.4237 0.9428
O7 O 0.2515 0.0763 0.9428
O8 O 0.2515 0.4237 0.5572
O9 O 0.4237 0.5572 0.2515
O10 O 0.4237 0.9428 0.2485
O11 O 0.4428 0.7485 0.5763
O12 O 0.4428 0.7515 0.9237
O13 O 0.5572 0.2485 0.0763
O14 O 0.5572 0.2515 0.4237
O15 O 0.5763 0.0572 0.7515
O16 O 0.5763 0.4428 0.7485
O17 O 0.7485 0.5763 0.4428
O18 O 0.7485 0.9237 0.0572
O19 O 0.7515 0.5763 0.0572
O20 O 0.7515 0.9237 0.4428
O21 O 0.9237 0.0572 0.7485
O22 O 0.9237 0.4428 0.7515
O23 O 0.9428 0.2485 0.4237
O24 O 0.9428 0.2515 0.0763
# Volume in Å³/cell: 394.3
# Crystal system: cubic
# Formation energy from raw total energies in meV/atom: -1311.2
# Total moment in μB per formula unit: 2.812

---

No. 2
# PBEsol Tl2BiSb2, optimized geometry
data_Tl2BiSb2
_chemical_formula_sum 'Tl4 Bi2 Sb4'
_cell_length_a 8.0552
_cell_length_b 8.0552
_cell_length_c 4.7426
_cell_angle_alpha 90.00
_cell_angle_beta 90.00
_cell_angle_gamma 90.00
_space_group_name_H-M_alt 'P 1'
_space_group_IT_number 1
loop_
_space_group_symop_operation_xyz
'x,y,z'
loop_
_atom_site_label
_atom_site_type_symbol
_atom_site_fract_x
_atom_site_fract_y
_atom_site_fract_z
Tl1 Tl 0.1769 0.3231 0.0000
Tl2 Tl 0.3231 0.8231 0.0000
Tl3 Tl 0.6769 0.1769 0.0000
Tl4 Tl 0.8231 0.6769 0.0000
Bi1 Bi 0.0000 0.0000 0.5000
Bi2 Bi 0.5000 0.5000 0.5000
Sb1 Sb 0.1280 0.6280 0.5000
Sb2 Sb 0.3720 0.1280 0.5000
Sb3 Sb 0.6280 0.8720 0.5000
Sb4 Sb 0.8720 0.3720 0.5000
# Volume in Å³/cell: 307.7
# Crystal system: tetragonal
# Formation energy from raw total energies in meV/atom: 71.8
# Energy relative to the lowest polymorph listed for this composition in meV/atom: 0
# Total moment in μB per formula unit: 0.000